(1)
Density functional theory data (PBE-GGA) for a relaxed AcPr4As5 crystal.

Summary:
Theoretical density ... 6.60 g/cm³
Energy ... -61.3 eV/f.u.
Energy of formation ... -1.483 eV/atom
Crystal system ... orthorhombic

a b c (Å): 4.359 6.167 21.797
angles (deg): 90.00 90.00 90.00
Space group Immm (No. 71)
Symmetry-distinct sites (fractional):
Ac 0.000 0.000 0.000 (multiplicity 2)
Pr 0.000 0.000 0.202 (multiplicity 4)
Pr 0.000 0.000 0.398 (multiplicity 4)
As 0.000 0.500 0.000 (multiplicity 2)
As 0.000 0.500 0.200 (multiplicity 4)
As 0.000 0.500 0.395 (multiplicity 4)

(2)
Density functional theory data (PBE-GGA) for a relaxed TbPm6Dy2Tm3 crystal.

Summary:
Theoretical density ... 7.95 g/cm³
Energy ... -55.6 eV/f.u.
Energy of formation ... 0.014 eV/atom
Crystal system ... monoclinic

a b c (Å): 6.223 10.776 11.775
angles (deg): 90.00 100.10 90.00
Space group C2/m (No. 12)
Symmetry-distinct sites (fractional):
Tb 0.000 0.000 0.000 (multiplicity 2)
Pm 0.249 0.000 0.748 (multiplicity 4)
Pm 0.249 0.333 0.748 (multiplicity 8)
Dy 0.000 0.333 0.000 (multiplicity 4)
Tm 0.000 0.167 0.500 (multiplicity 4)
Tm 0.000 0.500 0.500 (multiplicity 2)

(3)
Density functional theory data (PBE-GGA) for a relaxed BaMnInSn2 crystal.

Summary:
Theoretical density ... 6.44 g/cm³
Energy ... -22.8 eV/f.u.
Energy of formation ... -0.191 eV/atom
Crystal system ... tetragonal

a b c (Å): 5.186 5.186 5.219
angles (deg): 90.00 90.00 90.00
Space group P4/mmm (No. 123)
Symmetry-distinct sites (fractional):
Ba 0.000 0.000 0.000 (multiplicity 1)
Mn 0.500 0.500 0.500 (multiplicity 1)
In 0.500 0.500 0.000 (multiplicity 1)
Sn 0.000 0.500 0.500 (multiplicity 2)